Compound: CrAg2Au
Source: Alexandria via LeMat-Bulk
Functional: GGA-PBE
Structure: relaxed

CIF file:
```
data_CrAg2Au
_chemical_formula_sum 'Cr1 Ag2 Au1'
_symmetry_space_group_name_H-M 'P 4 m m'
_symmetry_Int_Tables_number 99
_cell_length_a 3.049
_cell_length_b 3.049
_cell_length_c 7.567
_cell_angle_alpha 90.00
_cell_angle_beta 90.00
_cell_angle_gamma 90.00
loop_
_symmetry_equiv_pos_as_xyz
'x,y,z'
'-y,x,z'
'-x,-y,z'
'y,-x,z'
'-x,y,z'
'y,x,z'
'x,-y,z'
'-y,-x,z'
loop_
_atom_site_label
_atom_site_type_symbol
_atom_site_fract_x
_atom_site_fract_y
_atom_site_fract_z
Cr1 Cr 0.000 0.000 0.000
Ag1 Ag 0.000 0.000 0.506
Ag2 Ag 0.500 0.500 0.246
Au1 Au 0.500 0.500 0.771
```

Values from the calculation:
DFT total energy ... -17.80 eV/f.u.
V ... 17.59 A^3/atom
Total magnetization ... 4.03 μB per cell
Formation enthalpy at 0 K ... 202 meV/atom
Theoretical density ... 10.97 g/cm³
DOS at the Fermi energy ... 2.48 states/eV per cell